No. 1
! Sc2FeSi2, relaxed, DFT PBE-GGA; values from VASP
&SYSTEM
  ibrav = 0, nat = 10, ntyp = 3
/
ATOMIC_SPECIES
Sc 44.96 Sc.upf
Fe 55.84 Fe.upf
Si 28.09 Si.upf
CELL_PARAMETERS angstrom
-4.1750 -2.2467 -2.4284
-2.0886 -4.8905 -0.3099
-7.5510 -1.6613 5.3635
ATOMIC_POSITIONS crystal
Sc 0.8147 0.8147 0.1080
Sc 0.1853 0.1853 0.8920
Sc 0.0012 0.0012 0.3275
Sc 0.9988 0.9988 0.6725
Fe 0.2709 0.2709 0.3733
Fe 0.7291 0.7291 0.6267
Si 0.4930 0.4930 0.8740
Si 0.5070 0.5070 0.1260
Si 0.6463 0.6463 0.4348
Si 0.3537 0.3537 0.5652
! space-group type	C2/m
! energy relative to the elements, uncorrected	-0.777	eV per atom
! density	4.13	g/cm3
! spin magnetization	0.00	μB/cell
! energy	-7.171	eV/atom

=====

No. 2
! ScFe3Si, relaxed, DFT PBE-GGA; values from VASP
&SYSTEM
  ibrav = 0, nat = 5, ntyp = 3
/
ATOMIC_SPECIES
Fe 55.84 Fe.upf
Sc 44.96 Sc.upf
Si 28.09 Si.upf
CELL_PARAMETERS angstrom
-3.2429 1.7771 2.0889
1.5527 -1.4770 3.6668
2.2607 3.5635 0.4781
ATOMIC_POSITIONS crystal
Fe 0.0000 0.0000 0.5000
Fe 0.5000 0.0000 0.0000
Fe 0.0000 0.5000 0.0000
Sc 0.5000 0.5000 0.5000
Si 0.0000 0.0000 0.0000
! space-group type	Pm-3m
! energy relative to the elements, uncorrected	0.216	eV per atom
! density	5.21	g/cm3
! distance to the lowest polymorph of the same formula	198	meV/atom
! spin magnetization	4.82	μB/cell
! energy	-7.213	eV/atom

=====

No. 3
! Sc4Fe2Si, relaxed, DFT PBE-GGA; values from VASP
&SYSTEM
  ibrav = 0, nat = 14, ntyp = 3
/
ATOMIC_SPECIES
Sc 44.96 Sc.upf
Fe 55.84 Fe.upf
Si 28.09 Si.upf
CELL_PARAMETERS angstrom
8.9251 0.0000 0.0000
0.0000 8.9251 0.0000
0.0000 0.0000 3.3334
ATOMIC_POSITIONS crystal
Sc 0.2624 0.9874 0.0000
Sc 0.5126 0.7624 0.5000
Sc 0.4874 0.2376 0.5000
Sc 0.0126 0.7376 0.0000
Sc 0.2376 0.4874 0.5000
Sc 0.7624 0.5126 0.5000
Sc 0.9874 0.2624 0.0000
Sc 0.7376 0.0126 0.0000
Fe 0.1903 0.1903 0.5000
Fe 0.3097 0.6903 0.0000
Fe 0.8097 0.8097 0.5000
Fe 0.6903 0.3097 0.0000
Si 0.0000 0.0000 0.5000
Si 0.5000 0.5000 0.0000
! space-group type	P4_2/mnm
! energy relative to the elements, uncorrected	-0.103	eV per atom
! density	4.00	g/cm3
! spin magnetization	2.88	μB/cell
! energy	-6.914	eV/atom

=====

No. 4
! ScFe3Si3, relaxed, DFT PBE-GGA; values from VASP
&SYSTEM
  ibrav = 0, nat = 14, ntyp = 3
/
ATOMIC_SPECIES
Sc 44.96 Sc.upf
Fe 55.84 Fe.upf
Si 28.09 Si.upf
CELL_PARAMETERS angstrom
-4.8396 -2.1695 -3.2442
3.6352 -4.3863 -2.4896
-1.4201 -3.8348 4.6830
ATOMIC_POSITIONS crystal
Sc 0.0000 0.0000 0.0000
Sc 0.5000 0.5000 0.5000
Fe 0.5000 0.2500 0.0000
Fe 0.5000 0.7500 0.0000
Fe 0.0000 0.5000 0.2500
Fe 0.7500 0.0000 0.5000
Fe 0.2500 0.0000 0.5000
Fe 0.0000 0.5000 0.7500
Si 0.0000 0.7500 0.5000
Si 0.2500 0.5000 0.0000
Si 0.5000 0.0000 0.7500
Si 0.7500 0.5000 0.0000
Si 0.5000 0.0000 0.2500
Si 0.0000 0.2500 0.5000
! space-group type	Pm-3n
! energy relative to the elements, uncorrected	0.242	eV per atom
! density	4.10	g/cm3
! spin magnetization	8.85	μB/cell
! energy	-6.613	eV/atom

=====

No. 5
! Sc2FeSi, relaxed, DFT PBE-GGA; values from VASP
&SYSTEM
  ibrav = 0, nat = 4, ntyp = 3
/
ATOMIC_SPECIES
Sc 44.96 Sc.upf
Fe 55.84 Fe.upf
Si 28.09 Si.upf
CELL_PARAMETERS angstrom
5.5452 0.0029 0.0003
4.6959 2.9493 0.0003
1.8144 0.5230 4.0689
ATOMIC_POSITIONS crystal
Sc 0.7550 0.7550 0.7450
Sc 0.9642 0.9642 0.0356
Fe 0.2314 0.2314 0.2692
Si 0.5494 0.5494 0.4502
! space-group type	Imm2
! energy relative to the elements, uncorrected	-0.349	eV per atom
! density	4.34	g/cm3
! spin magnetization	0.06	μB/cell
! energy	-6.986	eV/atom

=====

No. 6
! ScFe2Si, relaxed, DFT PBE-GGA; values from VASP
&SYSTEM
  ibrav = 0, nat = 4, ntyp = 3
/
ATOMIC_SPECIES
Si 28.09 Si.upf
Fe 55.84 Fe.upf
Sc 44.96 Sc.upf
CELL_PARAMETERS angstrom
-0.3026 -1.1353 -2.7246
1.1537 -2.5666 0.9413
-5.8089 -2.0598 1.5035
ATOMIC_POSITIONS crystal
Si 0.5000 0.5000 0.8084
Fe 0.0000 0.0000 0.9896
Fe 0.5000 0.5000 0.2049
Sc 0.0000 0.0000 0.4971
! space-group type	P4mm
! energy relative to the elements, uncorrected	-0.262	eV per atom
! density	5.49	g/cm3
! spin magnetization	3.37	μB/cell
! energy	-7.432	eV/atom

=====

No. 7
! Sc3Fe2Si3, relaxed, DFT PBE-GGA; values from VASP
&SYSTEM
  ibrav = 0, nat = 16, ntyp = 3
/
ATOMIC_SPECIES
Si 28.09 Si.upf
Sc 44.96 Sc.upf
Fe 55.84 Fe.upf
CELL_PARAMETERS angstrom
5.3353 0.0006 0.0000
-3.8763 3.6660 0.0000
0.0000 0.0000 12.8818
ATOMIC_POSITIONS crystal
Si 0.3831 0.6169 0.5406
Si 0.3831 0.6169 0.9594
Si 0.6169 0.3831 0.4594
Si 0.6716 0.3284 0.7500
Si 0.6169 0.3831 0.0406
Si 0.3284 0.6716 0.2500
Sc 0.9192 0.0808 0.1127
Sc 0.6388 0.3612 0.2500
Sc 0.3612 0.6388 0.7500
Sc 0.9192 0.0808 0.3873
Sc 0.0808 0.9192 0.8873
Sc 0.0808 0.9192 0.6127
Fe 0.2142 0.7858 0.0822
Fe 0.7858 0.2142 0.9178
Fe 0.7858 0.2142 0.5822
Fe 0.2142 0.7858 0.4178
! space-group type	Cmcm
! energy relative to the elements, uncorrected	-0.754	eV per atom
! density	4.36	g/cm3
! distance to the lowest polymorph of the same formula	0	meV/atom
! spin magnetization	0.00	μB/cell
! energy	-7.278	eV/atom

=====

No. 8
! ScFeSi, relaxed, DFT PBE-GGA; values from VASP
&SYSTEM
  ibrav = 0, nat = 3, ntyp = 3
/
ATOMIC_SPECIES
Fe 55.84 Fe.upf
Sc 44.96 Sc.upf
Si 28.09 Si.upf
CELL_PARAMETERS angstrom
-0.1771 -2.9990 -1.2102
2.8806 1.4399 0.3442
0.4184 -2.0174 4.9381
ATOMIC_POSITIONS crystal
Fe 0.0000 0.0000 0.9542
Sc 0.6667 0.3333 0.3334
Si 0.3333 0.6667 0.7125
! space-group type	P3m1
! energy relative to the elements, uncorrected	-0.095	eV per atom
! density	4.40	g/cm3
! spin magnetization	0.82	μB/cell
! energy	-6.834	eV/atom

=====

No. 9
! Sc2FeSi, relaxed, DFT PBE-GGA; values from VASP
&SYSTEM
  ibrav = 0, nat = 4, ntyp = 3
/
ATOMIC_SPECIES
Fe 55.84 Fe.upf
Si 28.09 Si.upf
Sc 44.96 Sc.upf
CELL_PARAMETERS angstrom
5.2032 -0.0134 -0.0087
3.5817 3.7743 -0.0087
3.5817 1.5333 3.4488
ATOMIC_POSITIONS crystal
Fe 0.7856 0.7856 0.7856
Si 0.4590 0.4590 0.4590
Sc 0.0266 0.0266 0.0266
Sc 0.2288 0.2288 0.2288
! space-group type	R3m
! energy relative to the elements, uncorrected	-0.424	eV per atom
! density	4.24	g/cm3
! spin magnetization	0.00	μB/cell
! energy	-7.061	eV/atom

=====

No. 10
! ScFe2Si, relaxed, DFT PBE-GGA; values from VASP
&SYSTEM
  ibrav = 0, nat = 4, ntyp = 3
/
ATOMIC_SPECIES
Sc 44.96 Sc.upf
Fe 55.84 Fe.upf
Si 28.09 Si.upf
CELL_PARAMETERS angstrom
-4.6839 -1.6109 -0.8022
3.6797 -2.8141 -1.2220
-0.0444 -1.9140 1.9414
ATOMIC_POSITIONS crystal
Sc 0.0000 0.5000 0.5000
Fe 0.0000 0.0000 0.0000
Fe 0.5000 0.0000 0.5000
Si 0.5000 0.5000 0.0000
! space-group type	C2/m
! energy relative to the elements, uncorrected	-0.070	eV per atom
! density	5.71	g/cm3
! spin magnetization	2.71	μB/cell
! energy	-7.240	eV/atom

=====

No. 11
! ScFe2Si2, relaxed, DFT PBE-GGA; values from VASP
&SYSTEM
  ibrav = 0, nat = 20, ntyp = 3
/
ATOMIC_SPECIES
Sc 44.96 Sc.upf
Si 28.09 Si.upf
Fe 55.84 Fe.upf
CELL_PARAMETERS angstrom
4.9811 0.0000 0.0000
0.0000 7.0540 0.0000
0.0000 0.0000 7.4429
ATOMIC_POSITIONS crystal
Sc 0.2500 0.5931 0.2516
Sc 0.7500 0.9069 0.2516
Sc 0.2500 0.0931 0.7484
Sc 0.7500 0.4069 0.7484
Si 0.5000 0.2500 0.4512
Si 0.5000 0.7500 0.5488
Si 0.0000 0.7500 0.5488
Si 0.0000 0.2500 0.4512
Si 0.2500 0.9496 0.0831
Si 0.2500 0.4496 0.9169
Si 0.7500 0.0504 0.9169
Si 0.7500 0.5504 0.0831
Fe 0.7500 0.0111 0.6160
Fe 0.5000 0.7500 0.8824
Fe 0.0000 0.7500 0.8824
Fe 0.7500 0.5111 0.3840
Fe 0.2500 0.4889 0.6160
Fe 0.2500 0.9889 0.3840
Fe 0.0000 0.2500 0.1176
Fe 0.5000 0.2500 0.1176
! space-group type	Pbcm
! energy relative to the elements, uncorrected	-0.682	eV per atom
! density	5.41	g/cm3
! spin magnetization	3.98	μB/cell
! energy	-7.502	eV/atom

=====

No. 12
! ScFe2Si2, relaxed, DFT PBE-GGA; values from VASP
&SYSTEM
  ibrav = 0, nat = 10, ntyp = 3
/
ATOMIC_SPECIES
Fe 55.84 Fe.upf
Si 28.09 Si.upf
Sc 44.96 Sc.upf
CELL_PARAMETERS angstrom
4.0078 -1.7218 -2.4094
4.8118 -0.6378 1.1278
1.3080 -7.7851 2.0884
ATOMIC_POSITIONS crystal
Fe 0.2669 0.2669 0.2881
Fe 0.9512 0.9512 0.3874
Fe 0.0488 0.0488 0.6126
Fe 0.7331 0.7331 0.7119
Si 0.1125 0.1125 0.8603
Si 0.6557 0.6557 0.4559
Si 0.8875 0.8875 0.1397
Si 0.3443 0.3443 0.5441
Sc 0.3991 0.3991 0.8663
Sc 0.6009 0.6009 0.1337
! space-group type	C2/m
! energy relative to the elements, uncorrected	-0.525	eV per atom
! density	5.32	g/cm3
! spin magnetization	0.06	μB/cell
! energy	-7.345	eV/atom